Computed, not measured: Ho2LuC after structural relaxation at the PBE-GGA level of DFT.

The structure in CIF format:
```
data_Ho2LuC
_symmetry_space_group_name_H-M 'R -3 m'
_symmetry_Int_Tables_number 166
_symmetry_space_group_name_Hall '-R 3 2"'
_cell_length_a 3.5127
_cell_length_b 3.5127
_cell_length_c 28.3341
_cell_angle_alpha 90.00
_cell_angle_beta 90.00
_cell_angle_gamma 120.00
loop_
_atom_site_label
_atom_site_fract_x
_atom_site_fract_y
_atom_site_fract_z
Ho1 0.0000 0.0000 0.1195
Lu1 0.0000 0.0000 0.0000
C1 0.0000 0.0000 0.5000
```

Summary:
- formation energy (eV/f.u.) = -0.28
- DOS at the Fermi energy (states/eV/f.u.) = 4.28

Computed, not measured: HoLu2C after structural relaxation at the PBE-GGA level of DFT.

The structure in CIF format:
```
data_HoLu2C
_symmetry_space_group_name_H-M 'R -3 m'
_symmetry_Int_Tables_number 166
_symmetry_space_group_name_Hall '-R 3 2"'
_cell_length_a 3.4615
_cell_length_b 3.4615
_cell_length_c 28.2622
_cell_angle_alpha 90.00
_cell_angle_beta 90.00
_cell_angle_gamma 120.00
loop_
_atom_site_label
_atom_site_fract_x
_atom_site_fract_y
_atom_site_fract_z
Ho1 0.0000 0.0000 0.0000
Lu1 0.0000 0.0000 0.1206
C1 0.0000 0.0000 0.5000
```

Summary:
- formation energy (eV/f.u.) = -0.51
- DOS at the Fermi energy (states/eV/f.u.) = 4.20

Computed, not measured: Ho4Lu2C after structural relaxation at the PBE-GGA level of DFT.

The structure in CIF format:
```
data_Ho4Lu2C
_symmetry_space_group_name_H-M 'I 4/m m m'
_symmetry_Int_Tables_number 139
_symmetry_space_group_name_Hall '-I 4 2'
_cell_length_a 4.811
_cell_length_b 4.811
_cell_length_c 17.462
_cell_angle_alpha 90.00
_cell_angle_beta 90.00
_cell_angle_gamma 90.00
loop_
_atom_site_label
_atom_site_fract_x
_atom_site_fract_y
_atom_site_fract_z
Ho1 0.000 0.000 0.136
Ho2 0.000 0.500 0.000
Lu1 0.000 0.000 0.331
C1 0.000 0.000 0.000
```

Summary:
- formation energy (eV/f.u.) = 1.09
- DOS at the Fermi energy (states/eV/f.u.) = 10.26

Computed, not measured: Ho3MgC after structural relaxation at the PBE-GGA level of DFT.

The structure in CIF format:
```
data_Ho3MgC
_symmetry_space_group_name_H-M 'P m -3 m'
_symmetry_Int_Tables_number 221
_symmetry_space_group_name_Hall '-P 4 2 3'
_cell_length_a 4.949
_cell_length_b 4.949
_cell_length_c 4.949
_cell_angle_alpha 90.00
_cell_angle_beta 90.00
_cell_angle_gamma 90.00
loop_
_atom_site_label
_atom_site_fract_x
_atom_site_fract_y
_atom_site_fract_z
Ho1 0.000 0.000 0.500
Mg1 0.500 0.500 0.500
C1 0.000 0.000 0.000
```

Summary:
- formation energy (eV/f.u.) = -0.99
- DOS at the Fermi energy (states/eV/f.u.) = 5.91

Computed, not measured: Ho4Mg2C after structural relaxation at the PBE-GGA level of DFT.

The structure in CIF format:
```
data_Ho4Mg2C
_symmetry_space_group_name_H-M 'I 4/m m m'
_symmetry_Int_Tables_number 139
_symmetry_space_group_name_Hall '-I 4 2'
_cell_length_a 4.937
_cell_length_b 4.937
_cell_length_c 15.602
_cell_angle_alpha 90.00
_cell_angle_beta 90.00
_cell_angle_gamma 90.00
loop_
_atom_site_label
_atom_site_fract_x
_atom_site_fract_y
_atom_site_fract_z
Ho1 0.000 0.000 0.153
Ho2 0.000 0.500 0.000
Mg1 0.000 0.000 0.364
C1 0.000 0.000 0.000
```

Summary:
- formation energy (eV/f.u.) = 0.11
- DOS at the Fermi energy (states/eV/f.u.) = 10.75

Computed, not measured: Ho2Mg2C after structural relaxation at the PBE-GGA level of DFT.

The structure in CIF format:
```
data_Ho2Mg2C
_symmetry_space_group_name_H-M 'R -3 m'
_symmetry_Int_Tables_number 166
_symmetry_space_group_name_Hall '-R 3 2"'
_cell_length_a 3.5044
_cell_length_b 3.5044
_cell_length_c 33.0315
_cell_angle_alpha 90.00
_cell_angle_beta 90.00
_cell_angle_gamma 120.00
loop_
_atom_site_label
_atom_site_fract_x
_atom_site_fract_y
_atom_site_fract_z
Ho1 0.0000 0.0000 0.1258
Mg1 0.0000 0.0000 0.3714
C1 0.0000 0.0000 0.5000
```

Summary:
- formation energy (eV/f.u.) = -0.88
- DOS at the Fermi energy (states/eV/f.u.) = 2.95

Computed, not measured: HoMgC after structural relaxation at the PBE-GGA level of DFT.

The structure in CIF format:
```
data_HoMgC
_symmetry_space_group_name_H-M 'I 4/m m m'
_symmetry_Int_Tables_number 139
_symmetry_space_group_name_Hall '-I 4 2'
_cell_length_a 4.204
_cell_length_b 4.204
_cell_length_c 12.289
_cell_angle_alpha 90.00
_cell_angle_beta 90.00
_cell_angle_gamma 90.00
loop_
_atom_site_label
_atom_site_fract_x
_atom_site_fract_y
_atom_site_fract_z
Ho1 0.000 0.000 0.121
Mg1 0.000 0.000 0.396
C1 0.000 0.500 0.000
```

Summary:
- formation energy (eV/f.u.) = 1.21
- DOS at the Fermi energy (states/eV/f.u.) = 1.65

Computed, not measured: Ho6Mg2C after structural relaxation at the PBE-GGA level of DFT.

The structure in CIF format:
```
data_Ho6Mg2C
_symmetry_space_group_name_H-M 'C 1 2/m 1'
_symmetry_Int_Tables_number 12
_cell_length_a 12.082
_cell_length_b 7.004
_cell_length_c 7.009
_cell_angle_alpha 90.00
_cell_angle_beta 125.42
_cell_angle_gamma 90.00
loop_
_symmetry_equiv_pos_as_xyz
'x,y,z'
'-x,-y,-z'
'-x,y,-z'
'x,-y,z'
'x+1/2,y+1/2,z'
'-x+1/2,-y+1/2,-z'
'-x+1/2,y+1/2,-z'
'x+1/2,-y+1/2,z'
loop_
_atom_site_label
_atom_site_fract_x
_atom_site_fract_y
_atom_site_fract_z
Ho1 0.019 0.244 0.276
Ho2 0.244 0.000 0.783
Mg1 0.250 0.000 0.251
C1 0.000 0.000 0.500
```

Summary:
- formation energy (eV/f.u.) = -1.06
- DOS at the Fermi energy (states/eV/f.u.) = 9.86

Computed, not measured: HoMgMnC after structural relaxation at the PBE-GGA level of DFT.

The structure in CIF format:
```
data_HoMgMnC
_symmetry_space_group_name_H-M 'P 4/n m m'
_symmetry_Int_Tables_number 129
_cell_length_a 3.651
_cell_length_b 3.651
_cell_length_c 10.245
_cell_angle_alpha 90.00
_cell_angle_beta 90.00
_cell_angle_gamma 90.00
loop_
_symmetry_equiv_pos_as_xyz
'x,y,z'
'-x,-y,-z'
'-y+1/2,x,z'
'y+1/2,-x,-z'
'-x+1/2,-y+1/2,z'
'x+1/2,y+1/2,-z'
'y,-x+1/2,z'
'-y,x+1/2,-z'
'x+1/2,-y,-z'
'-x+1/2,y,z'
'-y,-x,-z'
'y,x,z'
'-x,y+1/2,-z'
'x,-y+1/2,z'
'y+1/2,x+1/2,-z'
'-y+1/2,-x+1/2,z'
loop_
_atom_site_label
_atom_site_fract_x
_atom_site_fract_y
_atom_site_fract_z
Ho1 0.250 0.250 0.212
Mg1 0.250 0.750 0.500
Mn1 0.250 0.750 0.000
C1 0.250 0.250 0.921
```

Summary:
- formation energy (eV/f.u.) = 0.33
- DOS at the Fermi energy (states/eV/f.u.) = 3.06

Computed, not measured: Ho2MgSbC after structural relaxation at the PBE-GGA level of DFT.

The structure in CIF format:
```
data_Ho2MgSbC
_symmetry_space_group_name_H-M 'P 4/m m m'
_symmetry_Int_Tables_number 123
_symmetry_space_group_name_Hall '-P 4 2'
_cell_length_a 4.927
_cell_length_b 4.927
_cell_length_c 4.353
_cell_angle_alpha 90.00
_cell_angle_beta 90.00
_cell_angle_gamma 90.00
loop_
_atom_site_label
_atom_site_fract_x
_atom_site_fract_y
_atom_site_fract_z
Ho1 0.000 0.500 0.000
Mg1 0.000 0.000 0.500
Sb1 0.500 0.500 0.500
C1 0.000 0.000 0.000
```

Summary:
- DOS at the Fermi energy (states/eV/f.u.) = 1.47
- energy relative to the elements, uncorrected (meV/atom) = -555

Computed, not measured: Ho2MgScC after structural relaxation at the PBE-GGA level of DFT.

The structure in CIF format:
```
data_Ho2MgScC
_symmetry_space_group_name_H-M 'P 4/m m m'
_symmetry_Int_Tables_number 123
_symmetry_space_group_name_Hall '-P 4 2'
_cell_length_a 5.002
_cell_length_b 5.002
_cell_length_c 4.527
_cell_angle_alpha 90.00
_cell_angle_beta 90.00
_cell_angle_gamma 90.00
loop_
_atom_site_label
_atom_site_fract_x
_atom_site_fract_y
_atom_site_fract_z
Ho1 0.000 0.500 0.000
Mg1 0.000 0.000 0.500
Sc1 0.500 0.500 0.500
C1 0.500 0.500 0.000
```

Summary:
- formation energy (eV/f.u.) = -1.23
- DOS at the Fermi energy (states/eV/f.u.) = 5.81

Computed, not measured: HoMgSc2C after structural relaxation at the PBE-GGA level of DFT.

The structure in CIF format:
```
data_HoMgSc2C
_symmetry_space_group_name_H-M 'P 4/m m m'
_symmetry_Int_Tables_number 123
_symmetry_space_group_name_Hall '-P 4 2'
_cell_length_a 4.597
_cell_length_b 4.597
_cell_length_c 5.000
_cell_angle_alpha 90.00
_cell_angle_beta 90.00
_cell_angle_gamma 90.00
loop_
_atom_site_label
_atom_site_fract_x
_atom_site_fract_y
_atom_site_fract_z
Ho1 0.000 0.000 0.000
Mg1 0.500 0.500 0.000
Sc1 0.000 0.500 0.500
C1 0.000 0.000 0.500
```

Summary:
- formation energy (eV/f.u.) = -1.39
- DOS at the Fermi energy (states/eV/f.u.) = 4.46

Computed, not measured: SmHo2MgC after structural relaxation at the PBE-GGA level of DFT.

The structure in CIF format:
```
data_SmHo2MgC
_symmetry_space_group_name_H-M 'P 4/m m m'
_symmetry_Int_Tables_number 123
_symmetry_space_group_name_Hall '-P 4 2'
_cell_length_a 4.915
_cell_length_b 4.915
_cell_length_c 5.184
_cell_angle_alpha 90.00
_cell_angle_beta 90.00
_cell_angle_gamma 90.00
loop_
_atom_site_label
_atom_site_fract_x
_atom_site_fract_y
_atom_site_fract_z
Sm1 0.000 0.000 0.000
Ho1 0.000 0.500 0.500
Mg1 0.500 0.500 0.000
C1 0.000 0.000 0.500
```

Summary:
- formation energy (eV/f.u.) = -0.82
- DOS at the Fermi energy (states/eV/f.u.) = 5.90

Computed, not measured: Tb2HoMgC after structural relaxation at the PBE-GGA level of DFT.

The structure in CIF format:
```
data_Tb2HoMgC
_symmetry_space_group_name_H-M 'P 4/m m m'
_symmetry_Int_Tables_number 123
_symmetry_space_group_name_Hall '-P 4 2'
_cell_length_a 5.027
_cell_length_b 5.027
_cell_length_c 4.906
_cell_angle_alpha 90.00
_cell_angle_beta 90.00
_cell_angle_gamma 90.00
loop_
_atom_site_label
_atom_site_fract_x
_atom_site_fract_y
_atom_site_fract_z
Tb1 0.000 0.500 0.000
Ho1 0.000 0.000 0.500
Mg1 0.500 0.500 0.500
C1 0.000 0.000 0.000
```

Summary:
- formation energy (eV/f.u.) = -0.87
- DOS at the Fermi energy (states/eV/f.u.) = 6.75

Computed, not measured: Ho2MgTcC after structural relaxation at the PBE-GGA level of DFT.

The structure in CIF format:
```
data_Ho2MgTcC
_symmetry_space_group_name_H-M 'P 4/m m m'
_symmetry_Int_Tables_number 123
_symmetry_space_group_name_Hall '-P 4 2'
_cell_length_a 4.978
_cell_length_b 4.978
_cell_length_c 4.015
_cell_angle_alpha 90.00
_cell_angle_beta 90.00
_cell_angle_gamma 90.00
loop_
_atom_site_label
_atom_site_fract_x
_atom_site_fract_y
_atom_site_fract_z
Ho1 0.000 0.500 0.000
Mg1 0.000 0.000 0.500
Tc1 0.500 0.500 0.500
C1 0.500 0.500 0.000
```

Summary:
- formation energy (eV/f.u.) = -1.18
- DOS at the Fermi energy (states/eV/f.u.) = 2.73

Computed, not measured: HoTh2MgC after structural relaxation at the PBE-GGA level of DFT.

The structure in CIF format:
```
data_HoTh2MgC
_symmetry_space_group_name_H-M 'P 4/m m m'
_symmetry_Int_Tables_number 123
_symmetry_space_group_name_Hall '-P 4 2'
_cell_length_a 5.111
_cell_length_b 5.111
_cell_length_c 4.964
_cell_angle_alpha 90.00
_cell_angle_beta 90.00
_cell_angle_gamma 90.00
loop_
_atom_site_label
_atom_site_fract_x
_atom_site_fract_y
_atom_site_fract_z
Ho1 0.000 0.000 0.000
Th1 0.000 0.500 0.500
Mg1 0.500 0.500 0.000
C1 0.000 0.000 0.500
```

Summary:
- formation energy (eV/f.u.) = -0.75
- DOS at the Fermi energy (states/eV/f.u.) = 3.35

Computed, not measured: Ho2ThMgC after structural relaxation at the PBE-GGA level of DFT.

The structure in CIF format:
```
data_Ho2ThMgC
_symmetry_space_group_name_H-M 'P 4/m m m'
_symmetry_Int_Tables_number 123
_symmetry_space_group_name_Hall '-P 4 2'
_cell_length_a 4.965
_cell_length_b 4.965
_cell_length_c 5.091
_cell_angle_alpha 90.00
_cell_angle_beta 90.00
_cell_angle_gamma 90.00
loop_
_atom_site_label
_atom_site_fract_x
_atom_site_fract_y
_atom_site_fract_z
Ho1 0.000 0.500 0.000
Th1 0.000 0.000 0.500
Mg1 0.500 0.500 0.500
C1 0.000 0.000 0.000
```

Summary:
- formation energy (eV/f.u.) = -0.86
- DOS at the Fermi energy (states/eV/f.u.) = 5.18

Computed, not measured: Ho2MgTlC after structural relaxation at the PBE-GGA level of DFT.

The structure in CIF format:
```
data_Ho2MgTlC
_symmetry_space_group_name_H-M 'P 4/m m m'
_symmetry_Int_Tables_number 123
_symmetry_space_group_name_Hall '-P 4 2'
_cell_length_a 4.922
_cell_length_b 4.922
_cell_length_c 4.459
_cell_angle_alpha 90.00
_cell_angle_beta 90.00
_cell_angle_gamma 90.00
loop_
_atom_site_label
_atom_site_fract_x
_atom_site_fract_y
_atom_site_fract_z
Ho1 0.000 0.500 0.000
Mg1 0.000 0.000 0.500
Tl1 0.500 0.500 0.500
C1 0.000 0.000 0.000
```

Summary:
- formation energy (eV/f.u.) = -1.45
- DOS at the Fermi energy (states/eV/f.u.) = 2.58

Computed, not measured: HoTm2MgC after structural relaxation at the PBE-GGA level of DFT.

The structure in CIF format:
```
data_HoTm2MgC
_symmetry_space_group_name_H-M 'P 4/m m m'
_symmetry_Int_Tables_number 123
_symmetry_space_group_name_Hall '-P 4 2'
_cell_length_a 4.880
_cell_length_b 4.880
_cell_length_c 4.981
_cell_angle_alpha 90.00
_cell_angle_beta 90.00
_cell_angle_gamma 90.00
loop_
_atom_site_label
_atom_site_fract_x
_atom_site_fract_y
_atom_site_fract_z
Ho1 0.000 0.000 0.000
Tm1 0.000 0.500 0.500
Mg1 0.500 0.500 0.000
C1 0.000 0.000 0.500
```

Summary:
- formation energy (eV/f.u.) = -1.08
- DOS at the Fermi energy (states/eV/f.u.) = 5.84

Computed, not measured: YHo2MgC after structural relaxation at the PBE-GGA level of DFT.

The structure in CIF format:
```
data_YHo2MgC
_symmetry_space_group_name_H-M 'P 4/m m m'
_symmetry_Int_Tables_number 123
_symmetry_space_group_name_Hall '-P 4 2'
_cell_length_a 4.947
_cell_length_b 4.947
_cell_length_c 4.999
_cell_angle_alpha 90.00
_cell_angle_beta 90.00
_cell_angle_gamma 90.00
loop_
_atom_site_label
_atom_site_fract_x
_atom_site_fract_y
_atom_site_fract_z
Y1 0.000 0.000 0.000
Ho1 0.000 0.500 0.500
Mg1 0.500 0.500 0.000
C1 0.000 0.000 0.500
```

Summary:
- formation energy (eV/f.u.) = -1.01
- DOS at the Fermi energy (states/eV/f.u.) = 5.84

| no. | total energy (eV/cell) |
| --- | --- |
| 1 | -69.55 |
| 2 | -70.05 |
| 3 | -70.98 |
| 4 | -25.54 |
| 5 | -61.23 |
| 6 | -67.35 |
| 7 | -56.75 |
| 8 | -81.87 |
| 9 | -48.48 |
| 10 | -26.87 |
| 11 | -27.53 |
| 12 | -29.45 |
| 13 | -25.51 |
| 14 | -25.53 |
| 15 | -31.52 |
| 16 | -30.98 |
| 17 | -28.25 |
| 18 | -23.79 |
| 19 | -25.42 |
| 20 | -27.45 |